1.
Computed, not measured: an optimized crystal structure of TiV2Ni at the PBE level of DFT.

Values from the calculation:
VASP energy, eV/atom: -8.04
Energy above the most stable polymorph in this dataset, meV/atom: 72
Spin magnetization, μB per cell: 0.0

Cell lengths 4.2753, 3.5606, 3.5606 Å; angles 90.00, 90.00, 90.00 degrees
Element x y z (fractional)
Ni1 0.5000 0.5000 0.5000
Ti1 0.5000 0.0000 0.0000
V1 0.0000 0.0000 0.5000
V2 0.0000 0.5000 0.0000

---

2.
Computed, not measured: an optimized crystal structure of TiVNi14 at the PBE level of DFT.

Values from the calculation:
VASP energy, eV/atom: -6.28
Spin magnetization, μB per cell: 4.4

Cell lengths 5.0298, 5.0298, 7.0767 Å; angles 90.00, 90.00, 90.00 degrees
Last column: magnetic moment on the atom in μB.
Element x y z (fractional)
Ti1 0.8750 0.8750 0.5000  -0.13
V1 0.3750 0.3750 0.5000  -0.22
Ni1 0.8750 0.8750 0.0000  0.58
Ni2 0.3750 0.3750 0.0000  0.65
Ni3 0.8750 0.3750 0.5000  0.15
Ni4 0.8750 0.3750 0.0000  0.49
Ni5 0.3750 0.8750 0.5000  0.15
Ni6 0.3750 0.8750 0.0000  0.49
Ni7 0.6228 0.1272 0.2482  0.32
Ni8 0.6228 0.1272 0.7518  0.32
Ni9 0.1272 0.6228 0.2482  0.32
Ni10 0.1272 0.6228 0.7518  0.32
Ni11 0.6227 0.6227 0.2482  0.32
Ni12 0.6227 0.6227 0.7518  0.32
Ni13 0.1273 0.1273 0.2482  0.32
Ni14 0.1273 0.1273 0.7518  0.32

---

3.
Computed, not measured: an optimized crystal structure of TiV2Ni at the PBE level of DFT.

Values from the calculation:
VASP energy, eV/atom: -7.92
Energy above the most stable polymorph in this dataset, meV/atom: 189
Spin magnetization, μB per cell: 0.0

Cell lengths 4.2275, 4.2275, 4.2275 Å; angles 60.00, 60.00, 60.00 degrees
Element x y z (fractional)
Ni1 0.5000 0.5000 0.5000
V1 0.2500 0.2500 0.2500
V2 0.7500 0.7500 0.7500
Ti1 0.0000 0.0000 0.0000

---

4.
Computed, not measured: an optimized crystal structure of TiV3Ni7 at the PBE level of DFT.

Values from the calculation:
VASP energy, eV/atom: -6.80
Spin magnetization, μB per cell: 0.0

Cell lengths 4.5142, 6.3064, 6.3064 Å; angles 87.32, 116.40, 116.40 degrees
Element x y z (fractional)
Ti1 0.5000 0.5000 0.5000
V1 0.0000 0.7698 0.2302
V2 0.5000 0.0000 0.0000
V3 0.0000 0.2302 0.7698
Ni1 0.2772 0.1812 0.1812
Ni2 0.3311 0.0520 0.5960
Ni3 0.6689 0.4040 0.9480
Ni4 0.3311 0.5960 0.0520
Ni5 0.0000 0.5000 0.5000
Ni6 0.6689 0.9480 0.4040
Ni7 0.7228 0.8188 0.8188

---

5.
Computed, not measured: an optimized crystal structure of TiV2Ni4 at the PBE level of DFT.

Values from the calculation:
VASP energy, eV/atom: -6.25
Energy above the most stable polymorph in this dataset, meV/atom: 950
Spin magnetization, μB per cell: 0.0

Cell lengths 4.4679, 4.4679, 6.5200 Å; angles 69.96, 69.96, 90.00 degrees
Element x y z (fractional)
Ni1 0.1968 0.1968 0.6064
Ni2 0.8032 0.8032 0.3936
Ni3 0.0000 0.5000 0.0000
Ni4 0.5000 0.0000 0.0000
Ti1 0.0000 0.0000 0.0000
V1 0.4077 0.4077 0.1847
V2 0.5923 0.5923 0.8153

---

6.
Computed, not measured: an optimized crystal structure of TiVNi2 at the PBE level of DFT.

Values from the calculation:
VASP energy, eV/atom: -7.31
Energy above the most stable polymorph in this dataset, meV/atom: 65
Spin magnetization, μB per cell: 2.1

Cell lengths 4.1967, 4.1967, 4.1967 Å; angles 60.00, 60.00, 60.00 degrees
Last column: magnetic moment on the atom in μB.
Element x y z (fractional)
Ni1 0.2500 0.2500 0.2500  0.27
Ni2 0.7500 0.7500 0.7500  0.27
Ti1 0.5000 0.5000 0.5000  0.17
V1 0.0000 0.0000 0.0000  1.26

---

7.
Computed, not measured: an optimized crystal structure of TiV2Ni at the PBE level of DFT.

Values from the calculation:
VASP energy, eV/atom: -8.11
Energy above the most stable polymorph in this dataset, meV/atom: 0
Spin magnetization, μB per cell: 0.0

Cell lengths 3.0217, 3.0217, 5.9324 Å; angles 90.00, 90.00, 90.00 degrees
Element x y z (fractional)
Ti1 0.0000 0.0000 0.5025
V1 0.0000 0.0000 0.0066
V2 0.5000 0.5000 0.2350
Ni1 0.5000 0.5000 0.7559

---

8.
Computed, not measured: an optimized crystal structure of TiV3Ni at the PBE level of DFT.

Values from the calculation:
VASP energy, eV/atom: -6.82
Energy above the most stable polymorph in this dataset, meV/atom: 554
Spin magnetization, μB per cell: 3.3

Cell lengths 4.3452, 4.3452, 4.3452 Å; angles 90.00, 90.00, 90.00 degrees
Last column: magnetic moment on the atom in μB.
Element x y z (fractional)
Ni1 0.5000 0.5000 0.5000  0.44
V1 0.0000 0.5000 0.0000  0.83
V2 0.0000 0.0000 0.5000  0.83
V3 0.5000 0.0000 0.0000  0.83
Ti1 0.0000 0.0000 0.0000  0.00

---

9.
Computed, not measured: an optimized crystal structure of Ti2VNi4 at the PBE level of DFT.

Values from the calculation:
VASP energy, eV/atom: -6.28
Spin magnetization, μB per cell: 0.0

Cell lengths 4.2245, 4.2245, 6.8486 Å; angles 72.04, 72.04, 90.00 degrees
Element x y z (fractional)
Ni1 0.1880 0.1880 0.6241
Ni2 0.8120 0.8120 0.3759
Ni3 0.0000 0.5000 0.0000
Ni4 0.5000 0.0000 0.0000
Ti1 0.3742 0.3742 0.2515
Ti2 0.6258 0.6258 0.7485
V1 0.0000 0.0000 0.0000

---

10.
Computed, not measured: an optimized crystal structure of TiVNiW2 at the PBE level of DFT.

Values from the calculation:
VASP energy, eV/atom: -8.53
Spin magnetization, μB per cell: 0.0

Cell lengths 4.5096, 4.2798, 4.5096 Å; angles 90.00, 90.00, 90.00 degrees
Element x y z (fractional)
Ni1 0.0000 0.5000 0.0000
Ti1 0.5000 0.5000 0.5000
W1 0.0000 0.0000 0.5000
W2 0.5000 0.0000 0.0000
V1 0.0000 0.0000 0.0000

---

11.
Computed, not measured: an optimized crystal structure of TiVNiW at the PBE level of DFT.

Values from the calculation:
VASP energy, eV/atom: -9.03
Spin magnetization, μB per cell: 0.0

Cell lengths 4.3073, 4.3073, 4.3073 Å; angles 60.00, 60.00, 60.00 degrees
Element x y z (fractional)
Ni1 0.0000 0.0000 0.0000
Ti1 0.2500 0.2500 0.2500
W1 0.5000 0.5000 0.5000
V1 0.7500 0.7500 0.7500

---

12.
Computed, not measured: an optimized crystal structure of TiVZnNi at the PBE level of DFT.

Values from the calculation:
VASP energy, eV/atom: -6.14
Spin magnetization, μB per cell: 3.0

Cell lengths 4.2755, 4.2755, 4.2755 Å; angles 60.00, 60.00, 60.00 degrees
Last column: magnetic moment on the atom in μB.
Element x y z (fractional)
Ni1 0.0000 0.0000 0.0000  0.12
Zn1 0.2500 0.2500 0.2500  0.01
Ti1 0.7500 0.7500 0.7500  0.47
V1 0.5000 0.5000 0.5000  2.12

---

Number 1: density of states at the Fermi level 5.0 states/eV/cell. Number 2: density of states at the Fermi level 27.9 states/eV/cell. Number 3: density of states at the Fermi level 5.7 states/eV/cell. Number 4: density of states at the Fermi level 10.4 states/eV/cell. Number 5: density of states at the Fermi level 5.9 states/eV/cell. Number 6: density of states at the Fermi level 6.3 states/eV/cell. Number 7: density of states at the Fermi level 4.7 states/eV/cell. Number 8: density of states at the Fermi level 7.8 states/eV/cell. Number 9: density of states at the Fermi level 10.7 states/eV/cell. Number 10: density of states at the Fermi level 6.0 states/eV/cell. Number 11: density of states at the Fermi level 4.6 states/eV/cell. Number 12: density of states at the Fermi level 0.6 states/eV/cell.